# Sr2LaAs GGA-PBE relaxed
# energy relative to the elements	-39.9	kJ/mol of atoms
# VASP energy	-14.594	eV/f.u.
# DOS at the Fermi energy	9.876	states/eV per cell
data_Sr2LaAs
_chemical_formula_sum 'Sr4 La2 As2'
_cell_length_a 5.4496
_cell_length_b 5.4738
_cell_length_c 9.9729
_cell_angle_alpha 90.00
_cell_angle_beta 90.00
_cell_angle_gamma 90.00
_space_group_name_H-M_alt 'C m m m'
_space_group_IT_number 65
_space_group_name_Hall '-C 2 2'
loop_
_atom_site_label
_atom_site_fract_x
_atom_site_fract_y
_atom_site_fract_z
Sr1 0.0000 0.0000 0.1705
La1 0.0000 0.5000 0.5000
As1 0.0000 0.5000 0.0000